Ba3TlPb: single point on PBEsol structure, meta-GGA SCAN.

```
Ba3TlPb
1.0
6.410 0.000 0.000
0.000 6.410 0.000
0.000 0.000 6.410
Pb Tl Ba
1 1 3
Cartesian
3.205 3.205 3.205 Pb
0.000 0.000 0.000 Tl
0.000 3.205 0.000 Ba
0.000 0.000 3.205 Ba
3.205 0.000 0.000 Ba
```

Output
- SG = Pm-3m (221)
- total magnetization (Bohr magnetons per cell) = 0.0
- uncorrected energy (eV per atom) = -53.52
- crystal system = cubic